Below is a relaxed NaCrAuCl2 crystal, with properties calculated at the PBE-GGA level.

Lattice parameters (Å, degrees): 4.9358 4.9358 5.2962 90.00 90.00 90.00
With the nearest neighbours (Å) after each atom.
Space group P4/mmm (No. 123)
Asymmetric unit:
Na (0.0000, 0.0000, 0.0000)  4 Cl 2.47, 2 Au 2.65
Cr (0.5000, 0.5000, 0.5000)  4 Au 3.49, 8 Cl 3.62
Au (0.0000, 0.0000, 0.5000)  2 Na 2.65
Cl (0.0000, 0.5000, 0.0000)  2 Na 2.47

* formation energy without anion corrections: 0.11 eV/atom
* calculated volume: 25.806 Å³ per atom
* size of the total moment: 4.2 μB per formula unit